First-principles (PBEsol) data for an optimized crystal structure of As2IrAu, as listed in the Alexandria database.

The structure belongs to space group Immm (No. 71); the cell edges are 2.8705, 4.6164 and 10.8745 Å and the angles 90.00°, 90.00° and 90.00°. Symmetry generates all atoms from As at (0.0000, 0.0000, 0.1904), Ir at (0.0000, 0.5000, 0.5000) and Au at (0.0000, 0.5000, 0.0000).

The crystal system is orthorhombic. For the relative energy among the computed polymorphs, the calculation gives 0.000 eV per atom. For the formation enthalpy at 0 K, the calculation gives 0.53 eV per formula unit.